<a>
A geometry-optimized CaAlRe structure, computed with PBE.

Cell: 4.7984 4.7984 2.8017 Å, 90.00 90.00 120.00°
Fractional coordinates of all 3 atoms:
Re 0.3333 0.6667 0.7548
Ca 0.6667 0.3333 0.3486
Al 0.0000 0.0000 0.8967

=====

<b>
A geometry-optimized CaAlRe structure, computed with PBE.

Cell: 7.1319 7.1319 7.1319 Å, 156.77 156.77 33.09°
Fractional coordinates of all 3 atoms:
Re 0.6508 0.6508 0.0000
Ca 0.3308 0.3308 0.0000
Al 0.0184 0.0184 0.0000

=====

<b> ends up most stable, edging out the next structure by 85 meV/atom.

=====

<a>
A geometry-optimized CaAlRe structure, computed with PBE.

Cell: 5.7741 5.7741 5.7741 Å, 151.36 138.71 51.02°
Fractional coordinates of all 3 atoms:
Re 0.3774 0.3774 0.0000
Ca 0.6713 0.6713 0.0000
Al 0.9513 0.9513 0.0000

=====

<b>
A geometry-optimized CaAlRe structure, computed with PBE.

Cell: 4.7166 4.7166 4.7166 Å, 60.00 60.00 60.00°
Fractional coordinates of all 3 atoms:
Re 0.0000 0.0000 0.0000
Ca 0.7500 0.7500 0.7500
Al 0.5000 0.5000 0.5000

=====

<a> ends up most stable, edging out the next structure by 1420 meV/atom.

=====

<a>
A geometry-optimized CaAlRe structure, computed with PBE.

Cell: 3.0564 3.0564 7.1223 Å, 90.00 90.00 120.00°
Fractional coordinates of all 3 atoms:
Re 0.3333 0.6667 0.6896
Ca 0.6667 0.3333 0.3482
Al 0.0000 0.0000 0.9623

=====

<b>
A geometry-optimized CaAlRe structure, computed with PBE.

Cell: 4.5292 4.5292 4.5292 Å, 60.00 60.00 60.00°
Fractional coordinates of all 3 atoms:
Re 0.5000 0.5000 0.5000
Ca 0.0000 0.0000 0.0000
Al 0.7500 0.7500 0.7500

=====

<c>
A geometry-optimized CaAlRe structure, computed with PBE.

Cell: 7.1923 7.1252 2.8737 Å, 79.74 77.11 23.15°
Fractional coordinates of all 3 atoms:
Re 0.6517 0.6517 0.3483
Ca 0.3300 0.3300 0.6700
Al 0.0183 0.0183 0.9817

=====

<c> ends up most stable, edging out the next structure by 182 meV/atom.

=====

<a>
A geometry-optimized CaAlRe3 structure, computed with PBE.

Cell: 4.5991 4.5991 4.5991 Å, 90.00 90.00 90.00°
Fractional coordinates of all 5 atoms:
Re 0.0000 0.5000 0.0000
Re 0.0000 0.0000 0.5000
Re 0.5000 0.0000 0.0000
Ca 0.5000 0.5000 0.5000
Al 0.0000 0.0000 0.0000

=====

<b>
A geometry-optimized CaAlRe3 structure, computed with PBE.

Cell: 4.5881 4.5881 4.5881 Å, 90.00 90.00 90.00°
Fractional coordinates of all 5 atoms:
Re 0.0000 0.5000 0.0000
Re 0.0000 0.0000 0.5000
Re 0.5000 0.0000 0.0000
Ca 0.0000 0.0000 0.0000
Al 0.5000 0.5000 0.5000

=====

<a> ends up most stable, edging out the next structure by 1590 meV/atom.